# 1
First-principles (PBE) data for an optimized crystal structure of NiPb2Cl, as listed in the Alexandria database.

The energy relative to the elements, uncorrected is 10.4 kJ per mole of atoms. The calculation puts the energy relative to the lowest polymorph listed for this composition at 283 meV per atom. The crystal system is orthorhombic.

a = 4.2809 Å, b = 5.3699 Å, c = 8.3833 Å
α = 90.00°, β = 90.00°, γ = 90.00°
Last column: nearest neighbours and their distance in Å.
Space group Immm (No. 71)
Unique sites:
Ni1 0.0000 0.0000 0.0000 [2 per cell]  4 Pb 2.76
Pb1 0.0000 0.5000 0.2913 [4 per cell]  2 Ni 2.76
Cl1 0.0000 0.0000 0.5000 [2 per cell]  8 Pb 3.20-3.25, 4 Ni 3.43

# 2
First-principles (PBE) data for an optimized crystal structure of NiPb2Cl, as listed in the Alexandria database.

The energy relative to the elements, uncorrected is -10.7 kJ per mole of atoms. The calculation puts the energy relative to the lowest polymorph listed for this composition at 65 meV per atom. The crystal system is monoclinic.

a = 15.9667 Å, b = 3.4281 Å, c = 3.4727 Å
α = 90.00°, β = 90.08°, γ = 90.00°
Last column: nearest neighbours and their distance in Å.
Space group Cm (No. 8)
Unique sites:
Ni1 0.0000 0.0000 0.0000 [2 per cell]  8 Pb 2.91-3.00
Pb1 0.1085 0.5000 0.4993 [2 per cell]  4 Ni 2.99-3.00, 4 Cl 3.24-3.25, 1 Pb 3.32
Pb2 0.4008 0.0000 0.5013 [2 per cell]  4 Ni 2.91, 2 Cl 3.07
Cl1 0.2423 0.0000 0.0017 [2 per cell]  6 Pb 3.07-3.25, 2 Cl 3.43

# 3
First-principles (PBE) data for an optimized crystal structure of NiPb3Cl, as listed in the Alexandria database.

The energy relative to the elements, uncorrected is 74.3 kJ per mole of atoms. The calculation puts the energy relative to the lowest polymorph listed for this composition at 825 meV per atom. The crystal system is cubic.

a = 5.4731 Å, b = 5.4731 Å, c = 5.4731 Å
α = 90.00°, β = 90.00°, γ = 90.00°
Last column: nearest neighbours and their distance in Å.
Space group Pm-3m (No. 221)
Unique sites:
Ni1 0.0000 0.0000 0.0000 [1 per cell]  12 Pb 3.87
Pb1 0.0000 0.5000 0.5000 [3 per cell]  2 Cl 2.74
Cl1 0.5000 0.5000 0.5000 [1 per cell]  6 Pb 2.74

# 4
First-principles (PBE) data for an optimized crystal structure of NiPb2Cl, as listed in the Alexandria database.

The energy relative to the elements, uncorrected is -1.7 kJ per mole of atoms. The calculation puts the energy relative to the lowest polymorph listed for this composition at 159 meV per atom. The crystal system is monoclinic.

a = 7.9799 Å, b = 7.6650 Å, c = 3.3079 Å
α = 90.00°, β = 110.04°, γ = 90.00°
Last column: nearest neighbours and their distance in Å.
Space group C2/m (No. 12)
Unique sites:
Ni1 0.0000 0.0000 0.0000 [2 per cell]  4 Pb 2.85
Pb1 0.2500 0.2500 0.5000 [4 per cell]  2 Ni 2.85, 2 Cl 2.85
Cl1 0.0000 0.5000 0.0000 [2 per cell]  4 Pb 2.85

# 5
First-principles (PBE) data for an optimized crystal structure of NiPb2Cl, as listed in the Alexandria database.

The energy relative to the elements, uncorrected is 15.8 kJ per mole of atoms. The calculation puts the energy relative to the lowest polymorph listed for this composition at 339 meV per atom. The crystal system is tetragonal.

a = 4.0454 Å, b = 4.0454 Å, c = 12.4297 Å
α = 90.00°, β = 90.00°, γ = 90.00°
Last column: nearest neighbours and their distance in Å.
Space group I-4m2 (No. 119)
Unique sites:
Ni1 0.0000 0.0000 0.0000 [2 per cell]  4 Pb 2.86
Pb1 0.0000 0.0000 0.5000 [2 per cell]  4 Ni 2.86
Pb2 0.0000 0.5000 0.7500 [2 per cell]  4 Cl 2.86
Cl1 0.0000 0.5000 0.2500 [2 per cell]  4 Pb 2.86

# 6
First-principles (PBE) data for an optimized crystal structure of NiPbCl4, as listed in the Alexandria database.

The energy relative to the elements, uncorrected is 54.7 kJ per mole of atoms. The calculation puts the energy relative to the lowest polymorph listed for this composition at 1351 meV per atom. The crystal system is cubic.

a = 8.3737 Å, b = 8.3737 Å, c = 8.3737 Å
α = 90.00°, β = 90.00°, γ = 90.00°
Last column: nearest neighbours and their distance in Å.
Space group F-43m (No. 216)
Unique sites:
Ni1 0.0000 0.0000 0.0000 [4 per cell]  12 Cl 3.47, 4 Pb 3.63
Pb1 0.2500 0.2500 0.2500 [4 per cell]  12 Cl 3.47, 4 Ni 3.63
Cl1 0.1257 0.1257 0.6257 [16 per cell]  6 Cl 2.94-2.98

Copy entry 2 word for word.
First-principles (PBE) data for an optimized crystal structure of NiPb2Cl, as listed in the Alexandria database.

The energy relative to the elements, uncorrected is -10.7 kJ per mole of atoms. The calculation puts the energy relative to the lowest polymorph listed for this composition at 65 meV per atom. The crystal system is monoclinic.

a = 15.9667 Å, b = 3.4281 Å, c = 3.4727 Å
α = 90.00°, β = 90.08°, γ = 90.00°
Last column: nearest neighbours and their distance in Å.
Space group Cm (No. 8)
Unique sites:
Ni1 0.0000 0.0000 0.0000 [2 per cell]  8 Pb 2.91-3.00
Pb1 0.1085 0.5000 0.4993 [2 per cell]  4 Ni 2.99-3.00, 4 Cl 3.24-3.25, 1 Pb 3.32
Pb2 0.4008 0.0000 0.5013 [2 per cell]  4 Ni 2.91, 2 Cl 3.07
Cl1 0.2423 0.0000 0.0017 [2 per cell]  6 Pb 3.07-3.25, 2 Cl 3.43

Repeat the second record exactly.
First-principles (PBE) data for an optimized crystal structure of NiPb2Cl, as listed in the Alexandria database.

The energy relative to the elements, uncorrected is -10.7 kJ per mole of atoms. The calculation puts the energy relative to the lowest polymorph listed for this composition at 65 meV per atom. The crystal system is monoclinic.

a = 15.9667 Å, b = 3.4281 Å, c = 3.4727 Å
α = 90.00°, β = 90.08°, γ = 90.00°
Last column: nearest neighbours and their distance in Å.
Space group Cm (No. 8)
Unique sites:
Ni1 0.0000 0.0000 0.0000 [2 per cell]  8 Pb 2.91-3.00
Pb1 0.1085 0.5000 0.4993 [2 per cell]  4 Ni 2.99-3.00, 4 Cl 3.24-3.25, 1 Pb 3.32
Pb2 0.4008 0.0000 0.5013 [2 per cell]  4 Ni 2.91, 2 Cl 3.07
Cl1 0.2423 0.0000 0.0017 [2 per cell]  6 Pb 3.07-3.25, 2 Cl 3.43

Please write out number 6 again, unchanged.
First-principles (PBE) data for an optimized crystal structure of NiPbCl4, as listed in the Alexandria database.

The energy relative to the elements, uncorrected is 54.7 kJ per mole of atoms. The calculation puts the energy relative to the lowest polymorph listed for this composition at 1351 meV per atom. The crystal system is cubic.

a = 8.3737 Å, b = 8.3737 Å, c = 8.3737 Å
α = 90.00°, β = 90.00°, γ = 90.00°
Last column: nearest neighbours and their distance in Å.
Space group F-43m (No. 216)
Unique sites:
Ni1 0.0000 0.0000 0.0000 [4 per cell]  12 Cl 3.47, 4 Pb 3.63
Pb1 0.2500 0.2500 0.2500 [4 per cell]  12 Cl 3.47, 4 Ni 3.63
Cl1 0.1257 0.1257 0.6257 [16 per cell]  6 Cl 2.94-2.98

- Which formula does entry 4 have?
  NiPb2Cl